No. 1
Below is a relaxed ZrScZnB2 crystal, with properties calculated at the PBEsol level.

Unit cell a=4.017 b=4.017 c=4.591 alpha=90.00 beta=90.00 gamma=90.00
Space group P4/mmm (No. 123)
One atom of each set of equivalent atoms:
Zr: 0.000 0.000 0.000
Sc: 0.500 0.500 0.000
Zn: 0.500 0.500 0.500
B: 0.000 0.500 0.500

Calculated total energy in eV/f.u.: -26.20

***

No. 2
Below is a relaxed ZrScZn2B crystal, with properties calculated at the PBEsol level.

Unit cell a=4.958 b=4.958 c=4.208 alpha=90.00 beta=90.00 gamma=90.00
Space group P4/mmm (No. 123)
One atom of each set of equivalent atoms:
Zr: 0.000 0.000 0.000
Sc: 0.500 0.500 0.500
Zn: 0.000 0.500 0.000
B: 0.000 0.000 0.500

Calculated total energy in eV/f.u.: -21.48

***

No. 3
Below is a relaxed BSe crystal, with properties calculated at the PBEsol level.

Unit cell a=3.2407 b=3.2407 c=21.9817 alpha=90.00 beta=90.00 gamma=120.00
Space group R-3m (No. 166, hexagonal axes)
One atom of each set of equivalent atoms:
B: 0.0000 0.0000 0.0383
Se: 0.0000 0.0000 0.2530

Raw formation energy in eV/atom: -0.174

***

No. 4
Below is a relaxed BSe2 crystal, with properties calculated at the PBEsol level.

Unit cell a=7.598 b=11.375 c=8.993 alpha=90.00 beta=117.17 gamma=90.00
Space group P2_1/c (No. 14)
One atom of each set of equivalent atoms:
B: 0.017 0.134 0.251
B: 0.169 0.632 0.766
Se: 0.080 0.197 0.759
Se: 0.237 0.580 0.275
Se: 0.240 0.035 0.274
Se: 0.385 0.734 0.787

Raw formation energy in eV/atom: -0.074

***

No. 5
Below is a relaxed SnB3Se crystal, with properties calculated at the PBEsol level.

Unit cell a=4.149 b=4.149 c=4.149 alpha=90.00 beta=90.00 gamma=90.00
Space group Pm-3m (No. 221)
One atom of each set of equivalent atoms:
Sn: 0.000 0.000 0.000
B: 0.000 0.500 0.500
Se: 0.500 0.500 0.500

Raw formation energy in eV/atom: 1.744

***

No. 6
Below is a relaxed SrBSe2 crystal, with properties calculated at the PBEsol level.

Unit cell a=6.968 b=6.968 c=6.786 alpha=90.00 beta=90.00 gamma=90.00
Space group I-42d (No. 122)
One atom of each set of equivalent atoms:
Sr: 0.000 0.000 0.000
B: 0.000 0.000 0.500
Se: 0.133 0.250 0.625

Raw formation energy in eV/atom: -0.464

***

No. 7
Below is a relaxed SrB3Se crystal, with properties calculated at the PBEsol level.

Unit cell a=4.866 b=4.866 c=4.866 alpha=90.00 beta=90.00 gamma=90.00
Space group Pm-3m (No. 221)
One atom of each set of equivalent atoms:
Sr: 0.000 0.000 0.000
B: 0.000 0.000 0.500
Se: 0.500 0.500 0.500

Raw formation energy in eV/atom: 2.861

***

No. 8
Below is a relaxed SrBSe2 crystal, with properties calculated at the PBEsol level.

Unit cell a=4.7866 b=4.7866 c=19.5679 alpha=90.00 beta=90.00 gamma=120.00
Space group R-3m (No. 166, hexagonal axes)
One atom of each set of equivalent atoms:
Sr: 0.0000 0.0000 0.0000
B: 0.0000 0.0000 0.5000
Se: 0.0000 0.0000 0.4048

Raw formation energy in eV/atom: -0.359